Density functional theory data (PBE) for a relaxed structure of ScCd2Se.

Cell lengths 5.499, 5.499, 5.499 Å; angles 133.09, 133.09, 68.51 degrees
Atoms (fractional coordinates):
Cd 0.000 0.000 0.000
Cd 0.250 0.750 0.500
Sc 0.500 0.500 0.000
Se 0.750 0.250 0.500

## Properties
The calculation puts the energy relative to the elements, uncorrected at -0.3776 eV per atom. The space-group type is I-4m2, No. 119.

---

Density functional theory data (PBE) for a relaxed structure of MgAlFe.

Cell lengths 5.299, 5.299, 5.299 Å; angles 146.72, 146.98, 47.59 degrees
Atoms (fractional coordinates):
Al 0.968 0.968 0.000
Fe 0.351 0.351 0.000
Mg 0.681 0.681 0.000

## Properties
The space-group type is Imm2, No. 44. For the formation energy, the calculation gives -0.01 eV/atom.

---

Density functional theory data (PBE) for a relaxed structure of Ac6Si2Pb.

Cell lengths 9.426, 9.426, 9.426 Å; angles 106.77, 109.84, 111.84 degrees
Atoms (fractional coordinates):
Ac 0.537 0.721 0.815
Ac 0.463 0.279 0.185
Ac 0.094 0.279 0.815
Ac 0.906 0.721 0.185
Ac 0.792 0.763 0.555
Ac 0.208 0.237 0.445
Ac 0.208 0.763 0.971
Ac 0.792 0.237 0.029
Ac 0.705 0.385 0.681
Ac 0.295 0.615 0.319
Ac 0.295 0.976 0.681
Ac 0.705 0.024 0.319
Si 0.500 0.392 0.892
Si 0.500 0.608 0.108
Si 0.617 0.000 0.617
Si 0.383 0.000 0.383
Pb 0.000 0.500 0.500
Pb 0.000 0.000 0.000

## Properties
The calculation puts the energy relative to the elements, uncorrected at -0.4136 eV per atom. The space-group type is Immm, No. 71.

---

Density functional theory data (PBE) for a relaxed structure of CaNb2ZnTe.

Cell lengths 4.942, 5.418, 4.942 Å; angles 90.00, 90.00, 90.00 degrees
Atoms (fractional coordinates):
Nb 0.000 0.000 0.500
Nb 0.500 0.000 0.000
Te 0.000 0.500 0.000
Zn 0.500 0.500 0.500
Ca 0.000 0.000 0.000

## Properties
The calculation puts the energy relative to the elements, uncorrected at 1.8650 eV per atom. The space-group type is P4/mmm, No. 123.

---

Density functional theory data (PBE) for a relaxed structure of ZrOs3F.

Cell lengths 4.265, 4.265, 4.265 Å; angles 90.00, 90.00, 90.00 degrees
Atoms (fractional coordinates):
Os 0.000 0.500 0.000
Os 0.000 0.000 0.500
Os 0.500 0.000 0.000
Zr 0.500 0.500 0.500
F 0.000 0.000 0.000

## Properties
The calculation puts the energy relative to the elements, uncorrected at 0.9033 eV per atom. The space-group type is Pm-3m, No. 221.

---

Density functional theory data (PBE) for a relaxed structure of Tb2SmY4.

Cell lengths 6.052, 6.656, 11.760 Å; angles 90.00, 105.82, 90.00 degrees
Atoms (fractional coordinates):
Tb 0.609 0.750 0.011
Tb 0.391 0.250 0.989
Tb 0.284 0.250 0.448
Tb 0.716 0.750 0.552
Sm 0.172 0.750 0.135
Sm 0.828 0.250 0.865
Y 0.631 0.493 0.290
Y 0.977 0.750 0.837
Y 0.023 0.250 0.163
Y 0.631 0.007 0.290
Y 0.854 0.250 0.581
Y 0.369 0.993 0.710
Y 0.369 0.507 0.710
Y 0.146 0.750 0.419

## Properties
The space-group type is P2_1/m, No. 11. For the formation energy, the calculation gives 0.13 eV/atom.